{
  "formula": "LaTlAg2",
  "functional": "PBE-GGA",
  "state": "optimized geometry",
  "density_kg_m3": 8800,
  "spacegroup": "R-3m, No. 166",
  "crystal_system": "trigonal",
  "delta_e_f_ev_per_atom": 0.08,
  "dos_ef_per_ev_cell": 2.73,
  "lattice_angstrom": [[9.8687, -0.0823, -0.0485], [9.2586, 3.4170, -0.0485], [9.2586, 1.6142, 3.0121]],
  "species": ["La", "Ag", "Ag", "Tl"],
  "frac_coords": [[0.2500, 0.2500, 0.2500], [0.4958, 0.4958, 0.4958], [0.0042, 0.0042, 0.0042], [0.7500, 0.7500, 0.7500]]
}

{
  "formula": "La4Tl3Ag",
  "functional": "PBE-GGA",
  "state": "optimized geometry",
  "density_kg_m3": 8674,
  "spacegroup": "P4/mmm, No. 123",
  "crystal_system": "tetragonal",
  "delta_e_f_ev_per_atom": -0.38,
  "dos_ef_per_ev_cell": 8.41,
  "lattice_angstrom": [[-2.8837, 2.2977, 0.8382], [-0.4210, -1.7429, 3.3291], [10.8913, 11.0551, 7.1651]],
  "species": ["Ag", "Tl", "Tl", "Tl", "La", "La", "La", "La"],
  "frac_coords": [[0.5000, 0.5000, 0.0000], [0.5000, 0.5000, 0.2403], [0.5000, 0.5000, 0.7597], [0.5000, 0.5000, 0.5000], [0.0000, 0.0000, 0.6289], [0.0000, 0.0000, 0.1144], [0.0000, 0.0000, 0.3711], [0.0000, 0.0000, 0.8856]]
}

{
  "formula": "La6TlAg2",
  "functional": "PBE-GGA",
  "state": "optimized geometry",
  "density_kg_m3": 7125,
  "spacegroup": "Immm, No. 71",
  "crystal_system": "orthorhombic",
  "delta_e_f_ev_per_atom": -0.18,
  "dos_ef_per_ev_cell": 25.03,
  "lattice_angstrom": [[-2.3798, 6.9964, 5.3574], [5.8333, -5.6079, 4.2235], [4.2423, 3.0495, -7.4845]],
  "species": ["Ag", "Ag", "Ag", "Ag", "Tl", "Tl", "La", "La", "La", "La", "La", "La", "La", "La", "La", "La", "La", "La"],
  "frac_coords": [[0.5000, 0.6285, 0.1285], [0.6393, 0.0000, 0.6393], [0.5000, 0.3715, 0.8715], [0.3607, 0.0000, 0.3607], [0.0000, 0.5000, 0.5000], [0.0000, 0.0000, 0.0000], [0.2786, 0.5993, 0.3207], [0.1998, 0.7547, 0.9545], [0.0874, 0.2740, 0.8135], [0.7214, 0.4007, 0.6793], [0.2786, 0.9579, 0.6793], [0.7214, 0.0421, 0.3207], [0.4605, 0.2739, 0.1865], [0.5395, 0.7260, 0.8135], [0.9126, 0.7261, 0.1865], [0.8002, 0.7547, 0.5549], [0.1998, 0.2453, 0.4451], [0.8002, 0.2453, 0.0455]]
}

{
  "formula": "La6Tl2Ag",
  "functional": "PBE-GGA",
  "state": "optimized geometry",
  "density_kg_m3": 7435,
  "spacegroup": "P2_1/c, No. 14",
  "crystal_system": "monoclinic",
  "delta_e_f_ev_per_atom": -0.17,
  "dos_ef_per_ev_cell": 23.88,
  "lattice_angstrom": [[6.4769, 0.0000, 0.4869], [0.0000, 8.8347, 0.0000], [-0.2311, 0.0000, 10.5213]],
  "species": ["Ag", "Ag", "La", "La", "La", "La", "La", "La", "La", "La", "La", "La", "La", "La", "Tl", "Tl", "Tl", "Tl"],
  "frac_coords": [[0.5000, 0.5000, 0.0000], [0.0000, 0.0000, 0.5000], [0.8870, 0.6525, 0.5492], [0.6130, 0.1525, 0.9508], [0.3870, 0.8475, 0.0492], [0.8710, 0.9652, 0.2218], [0.1130, 0.3475, 0.4508], [0.6290, 0.4652, 0.2782], [0.4084, 0.8065, 0.4435], [0.9084, 0.6935, 0.9435], [0.1290, 0.0348, 0.7782], [0.0916, 0.3065, 0.0565], [0.5916, 0.1935, 0.5565], [0.3710, 0.5348, 0.7218], [0.1011, 0.6256, 0.2406], [0.8989, 0.3744, 0.7594], [0.6011, 0.8744, 0.7406], [0.3989, 0.1256, 0.2594]]
}

{
  "formula": "LaTlAg2",
  "functional": "PBE-GGA",
  "state": "optimized geometry",
  "density_kg_m3": 9471,
  "spacegroup": "F-43m, No. 216",
  "crystal_system": "cubic",
  "delta_e_f_ev_per_atom": -0.22,
  "dos_ef_per_ev_cell": 2.84,
  "lattice_angstrom": [[-0.7467, 3.6060, 3.6383], [-3.9547, -0.4400, 3.3113], [0.9008, -1.1159, 4.9704]],
  "species": ["Tl", "La", "Ag", "Ag"],
  "frac_coords": [[0.2500, 0.2500, 0.2500], [0.5000, 0.5000, 0.5000], [0.9999, 0.9999, 0.0003], [0.7500, 0.7500, 0.7498]]
}

{
  "formula": "La4TlAg",
  "functional": "PBE-GGA",
  "state": "optimized geometry",
  "density_kg_m3": 7497,
  "spacegroup": "P2_1/m, No. 11",
  "crystal_system": "monoclinic",
  "delta_e_f_ev_per_atom": -0.21,
  "dos_ef_per_ev_cell": 15.83,
  "lattice_angstrom": [[5.2397, 0.0000, -2.3268], [0.0000, 7.2988, 0.0000], [-0.2157, 0.0000, 10.1486]],
  "species": ["La", "La", "La", "La", "La", "La", "La", "La", "Tl", "Tl", "Ag", "Ag"],
  "frac_coords": [[0.9064, 0.4777, 0.2218], [0.3775, 0.7500, 0.5513], [0.9064, 0.0223, 0.2218], [0.0936, 0.9777, 0.7782], [0.3291, 0.7500, 0.1224], [0.0936, 0.5223, 0.7782], [0.6709, 0.2500, 0.8776], [0.6225, 0.2500, 0.4487], [0.6852, 0.7500, 0.9132], [0.3148, 0.2500, 0.0868], [0.7895, 0.7500, 0.4457], [0.2105, 0.2500, 0.5543]]
}

{
  "formula": "La5Tl4Ag",
  "functional": "PBE-GGA",
  "state": "optimized geometry",
  "density_kg_m3": 8751,
  "spacegroup": "P4/mmm, No. 123",
  "crystal_system": "tetragonal",
  "delta_e_f_ev_per_atom": -0.40,
  "dos_ef_per_ev_cell": 9.44,
  "lattice_angstrom": [[3.7942, 0.0000, 0.0000], [0.0000, 3.7942, 0.0000], [0.0000, 0.0000, 21.3522]],
  "species": ["La", "La", "La", "La", "La", "Tl", "Tl", "Tl", "Tl", "Ag"],
  "frac_coords": [[0.5000, 0.5000, 0.5000], [0.5000, 0.5000, 0.9088], [0.5000, 0.5000, 0.7047], [0.5000, 0.5000, 0.0912], [0.5000, 0.5000, 0.2953], [0.0000, 0.0000, 0.3971], [0.0000, 0.0000, 0.6029], [0.0000, 0.0000, 0.1911], [0.0000, 0.0000, 0.8089], [0.0000, 0.0000, 0.0000]]
}

{
  "formula": "La6TlAg5",
  "functional": "PBE-GGA",
  "state": "optimized geometry",
  "density_kg_m3": 7632,
  "spacegroup": "Immm, No. 71",
  "crystal_system": "orthorhombic",
  "delta_e_f_ev_per_atom": -0.28,
  "dos_ef_per_ev_cell": 12.48,
  "lattice_angstrom": [[-4.3091, 0.1957, -3.2656], [-3.2537, -5.8982, 3.9402], [0.2219, 8.1653, 4.6781]],
  "species": ["Ag", "Ag", "Ag", "Ag", "Ag", "La", "La", "La", "La", "La", "La", "Tl"],
  "frac_coords": [[0.6666, 0.6666, 0.3331], [0.3400, 0.8400, 0.6800], [0.0000, 0.5000, 0.0000], [0.3334, 0.3334, 0.6669], [0.6600, 0.1600, 0.3200], [0.5000, 0.2605, 0.0000], [0.1706, 0.9163, 0.3412], [0.1705, 0.4248, 0.3412], [0.5000, 0.7395, 0.0000], [0.8294, 0.0837, 0.6588], [0.8295, 0.5752, 0.6588], [0.0000, 0.0000, 0.0000]]
}

{
  "formula": "La2TlAg2",
  "functional": "PBE-GGA",
  "state": "optimized geometry",
  "density_kg_m3": 7654,
  "spacegroup": "I4/mmm, No. 139",
  "crystal_system": "tetragonal",
  "delta_e_f_ev_per_atom": -0.10,
  "dos_ef_per_ev_cell": 3.47,
  "lattice_angstrom": [[5.9163, 0.0000, 0.0000], [0.0000, 5.9163, 0.0000], [2.9581, 2.9581, 4.3259]],
  "species": ["La", "La", "Tl", "Ag", "Ag"],
  "frac_coords": [[0.2500, 0.7500, 0.5000], [0.7500, 0.2500, 0.5000], [0.0000, 0.0000, 0.0000], [0.6486, 0.6486, 0.7027], [0.3514, 0.3514, 0.2973]]
}

{
  "formula": "La3Tl2Ag",
  "functional": "PBE-GGA",
  "state": "optimized geometry",
  "density_kg_m3": 8458,
  "spacegroup": "P-3m1, No. 164",
  "crystal_system": "trigonal",
  "delta_e_f_ev_per_atom": -0.36,
  "dos_ef_per_ev_cell": 14.19,
  "lattice_angstrom": [[-1.5713, -4.5881, 2.6934], [4.6238, 2.6620, 1.5192], [-7.2963, 7.6578, 8.7883]],
  "species": ["La", "La", "La", "La", "La", "La", "Tl", "Tl", "Tl", "Tl", "Ag", "Ag"],
  "frac_coords": [[0.6667, 0.3333, 0.0909], [0.6667, 0.3333, 0.5855], [0.3333, 0.6667, 0.9091], [0.3333, 0.6667, 0.4145], [0.0000, 0.0000, 0.7441], [0.0000, 0.0000, 0.2559], [0.3333, 0.6667, 0.1660], [0.0000, 0.0000, 0.5000], [0.0000, 0.0000, 0.0000], [0.6667, 0.3333, 0.8340], [0.6667, 0.3333, 0.3380], [0.3333, 0.6667, 0.6620]]
}

{
  "formula": "La3Tl4Ag2",
  "functional": "PBE-GGA",
  "state": "optimized geometry",
  "density_kg_m3": 9540,
  "spacegroup": "C2/m, No. 12",
  "crystal_system": "monoclinic",
  "delta_e_f_ev_per_atom": -0.35,
  "dos_ef_per_ev_cell": 4.97,
  "lattice_angstrom": [[5.0523, 0.0000, 0.0000], [-2.5262, 5.4151, -2.0872], [0.0000, -0.8614, 9.5573]],
  "species": ["La", "La", "La", "Tl", "Tl", "Tl", "Tl", "Ag", "Ag"],
  "frac_coords": [[0.6692, 0.3383, 0.6568], [0.0000, 0.0000, 0.0000], [0.3308, 0.6617, 0.3432], [0.2589, 0.5179, 0.9153], [0.0431, 0.0862, 0.3706], [0.9569, 0.9138, 0.6294], [0.7411, 0.4821, 0.0847], [0.3938, 0.7876, 0.7234], [0.6062, 0.2124, 0.2766]]
}